Entry 1:
A plane-wave DFT calculation with PBE was carried out for crystalline Na3DyTl4 at its relaxed geometry.

## Properties
The magnetization comes out at 0.00 μB per formula unit. The calculation puts the total energy at -2.4136 eV per atom. As for the space group: C2/m (12).

Cell: 5.4049 5.4052 8.4158 Å, 108.82 108.73 90.00°
Last column: nearest neighbours and their distance in Å.
Fractional positions:
Na1 0.0000 0.5000 0.0000  8 Tl 3.26-3.27
Na2 0.7485 0.2485 0.4970  8 Tl 3.30-3.33
Na3 0.2515 0.7515 0.5030  8 Tl 3.30-3.33
Tl1 0.1218 0.1213 0.2437  6 Na 3.26-3.33, 2 Dy 3.26
Tl2 0.8782 0.8787 0.7563  6 Na 3.26-3.33, 2 Dy 3.26
Tl3 0.6218 0.6215 0.2437  2 Dy 3.26-3.27, 6 Na 3.26-3.33
Tl4 0.3782 0.3785 0.7563  2 Dy 3.26-3.27, 6 Na 3.26-3.33
Dy1 0.5000 0.0000 0.0000  8 Tl 3.26-3.27


Entry 2:
A plane-wave DFT calculation with PBE was carried out for crystalline Na4DyTl15 at its relaxed geometry.

## Properties
The magnetization comes out at 0.00 μB per formula unit. The calculation puts the total energy at -2.3566 eV per atom. As for the space group: P4/mmm (123).

Cell: 4.8110 4.8110 24.6996 Å, 90.00 90.00 90.00°
Last column: nearest neighbours and their distance in Å.
Fractional positions:
Tl1 0.5000 0.5000 0.6007  4 Na 3.40, 8 Tl 3.46
Tl2 0.0000 0.5000 0.2984  8 Tl 3.40-3.51, 4 Na 3.47-3.52
Tl3 0.5000 0.5000 0.1950  4 Na 3.40, 8 Tl 3.41-3.51
Tl4 0.0000 0.5000 0.9031  8 Tl 3.39-3.41, 2 Dy 3.39, 2 Na 3.41
Tl5 0.5000 0.5000 0.3993  4 Na 3.40, 8 Tl 3.46
Tl6 0.5000 0.0000 0.5000  8 Tl 3.40-3.46, 4 Na 3.46
Tl7 0.0000 0.5000 0.7016  8 Tl 3.40-3.51, 4 Na 3.47-3.52
Tl8 0.0000 0.5000 0.5000  8 Tl 3.40-3.46, 4 Na 3.46
Tl9 0.5000 0.0000 0.9031  2 Dy 3.39, 8 Tl 3.39-3.41, 2 Na 3.41
Tl10 0.5000 0.5000 0.8050  4 Na 3.40, 8 Tl 3.41-3.51
Tl11 0.5000 0.5000 0.0000  8 Tl 3.39, 4 Dy 3.40
Tl12 0.5000 0.0000 0.7016  8 Tl 3.40-3.51, 4 Na 3.47-3.52
Tl13 0.5000 0.0000 0.0969  2 Dy 3.39, 8 Tl 3.39-3.41, 2 Na 3.41
Tl14 0.0000 0.5000 0.0969  8 Tl 3.39-3.41, 2 Dy 3.39, 2 Na 3.41
Tl15 0.5000 0.0000 0.2984  8 Tl 3.40-3.51, 4 Na 3.47-3.52
Na1 0.0000 0.0000 0.1945  12 Tl 3.40-3.52
Na2 0.0000 0.0000 0.6005  12 Tl 3.40-3.47
Na3 0.0000 0.0000 0.3995  12 Tl 3.40-3.47
Na4 0.0000 0.0000 0.8055  12 Tl 3.40-3.52
Dy1 0.0000 0.0000 0.0000  12 Tl 3.39-3.40


Entry 3:
A plane-wave DFT calculation with PBE was carried out for crystalline NaDyTl2 at its relaxed geometry.

## Properties
For the polymorph energy (0 for the lowest one), the calculation gives 0 meV/atom. The magnetization comes out at 0.00 μB per formula unit. The calculation puts the total energy at -2.9149 eV per atom. As for the space group: P4/mmm (123).

Cell: 3.8496 5.2914 5.2914 Å, 90.00 90.00 90.00°
Last column: nearest neighbours and their distance in Å.
Fractional positions:
Na1 0.5000 0.0000 0.0000  8 Tl 3.27
Tl1 0.0000 0.0000 0.5000  4 Na 3.27, 4 Dy 3.27
Tl2 0.0000 0.5000 0.0000  4 Dy 3.27, 4 Na 3.27
Dy1 0.5000 0.5000 0.5000  8 Tl 3.27


Entry 4:
A plane-wave DFT calculation with PBE was carried out for crystalline Na2DyTl3 at its relaxed geometry.

## Properties
The magnetization comes out at 0.13 μB per formula unit. The calculation puts the total energy at -2.5674 eV per atom. As for the space group: P4/mmm (123).

Cell: 3.7520 3.7520 11.8019 Å, 90.00 90.00 90.00°
Last column: nearest neighbours and their distance in Å.
Fractional positions:
Tl1 0.0000 0.0000 0.6641  4 Dy 3.28, 4 Na 3.29
Tl2 0.0000 0.0000 0.0000  8 Na 3.33
Tl3 0.0000 0.0000 0.3359  4 Dy 3.28, 4 Na 3.29
Na1 0.5000 0.5000 0.1707  8 Tl 3.29-3.33
Na2 0.5000 0.5000 0.8293  8 Tl 3.29-3.33
Dy1 0.5000 0.5000 0.5000  8 Tl 3.28


Entry 5:
A plane-wave DFT calculation with PBE was carried out for crystalline NaDyTl2 at its relaxed geometry.

## Properties
For the polymorph energy (0 for the lowest one), the calculation gives 143 meV/atom. The magnetization comes out at 0.00 μB per formula unit. The calculation puts the total energy at -2.7722 eV per atom. As for the space group: R3m (160).

Cell: 3.6437 3.6437 10.4284 Å, 79.94 79.94 60.00°
Last column: nearest neighbours and their distance in Å.
Fractional positions:
Na1 0.4998 0.4998 0.5005  6 Tl 3.31-3.32, 6 Na 3.64
Tl1 0.2505 0.2505 0.2486  3 Dy 3.30, 3 Na 3.32, 6 Tl 3.64
Tl2 0.0830 0.0830 0.7511  3 Dy 3.30, 3 Na 3.31, 6 Tl 3.64
Dy1 0.6667 0.6667 0.9998  6 Tl 3.30, 6 Dy 3.64


Entry 6:
A plane-wave DFT calculation with PBE was carried out for crystalline NaDy3Tl4 at its relaxed geometry.

## Properties
The magnetization comes out at 0.00 μB per formula unit. The calculation puts the total energy at -3.3604 eV per atom. As for the space group: R-3m (166).

Cell: 5.3210 5.3210 9.3454 Å, 73.46 73.46 60.00°
Last column: nearest neighbours and their distance in Å.
Fractional positions:
Tl1 0.3749 0.3749 0.8754  5 Dy 3.21-3.31, 3 Na 3.26
Tl2 0.6251 0.6251 0.1246  5 Dy 3.21-3.31, 3 Na 3.26
Tl3 0.8754 0.8754 0.3738  7 Dy 3.27-3.42, 1 Na 3.30
Tl4 0.1246 0.1246 0.6262  7 Dy 3.27-3.42, 1 Na 3.30
Dy1 0.7463 0.7463 0.7612  8 Tl 3.21-3.42
Dy2 0.2537 0.2537 0.2388  8 Tl 3.21-3.42
Dy3 0.5000 0.5000 0.5000  8 Tl 3.27-3.31
Na1 0.0000 0.0000 0.0000  8 Tl 3.26-3.30


Entry 7:
A plane-wave DFT calculation with PBE was carried out for crystalline NaDyTmTl at its relaxed geometry.

## Properties
The magnetization comes out at 0.00 μB per formula unit. The calculation puts the total energy at -3.2171 eV per atom. As for the space group: F-43m (216).

Cell: 5.3691 5.3691 5.3691 Å, 60.00 60.00 60.00°
Last column: nearest neighbours and their distance in Å.
Fractional positions:
Tl1 0.7500 0.7500 0.7500  4 Dy 3.29, 4 Tm 3.29
Na1 0.2500 0.2500 0.2500  4 Dy 3.29, 4 Tm 3.29
Dy1 0.5000 0.5000 0.5000  4 Tl 3.29, 4 Na 3.29
Tm1 0.0000 0.0000 0.0000  4 Na 3.29, 4 Tl 3.29


Entry 8:
A plane-wave DFT calculation with PBE was carried out for crystalline NaDyYTl at its relaxed geometry.

## Properties
The magnetization comes out at 0.00 μB per formula unit. The calculation puts the total energy at -3.7561 eV per atom. As for the space group: F-43m (216).

Cell: 5.4052 5.4052 5.4052 Å, 60.00 60.00 60.00°
Last column: nearest neighbours and their distance in Å.
Fractional positions:
Tl1 0.0000 0.0000 0.0000  4 Dy 3.31, 4 Y 3.31
Na1 0.5000 0.5000 0.5000  4 Dy 3.31, 4 Y 3.31
Dy1 0.2500 0.2500 0.2500  4 Tl 3.31, 4 Na 3.31
Y1 0.7500 0.7500 0.7500  4 Na 3.31, 4 Tl 3.31


Entry 9:
A plane-wave DFT calculation with PBE was carried out for crystalline NaDy2Tm at its relaxed geometry.

## Properties
For the polymorph energy (0 for the lowest one), the calculation gives 0 meV/atom. The magnetization comes out at 0.00 μB per formula unit. The calculation puts the total energy at -3.6178 eV per atom. As for the space group: P4/mmm (123).

Cell: 3.5013 3.5013 10.5235 Å, 90.00 90.00 90.00°
Last column: nearest neighbours and their distance in Å.
Fractional positions:
Na1 0.5000 0.5000 0.5000  4 Na 3.50, 8 Dy 3.78
Dy1 0.0000 0.0000 0.2287  4 Tm 3.45, 4 Dy 3.50, 4 Na 3.78
Dy2 0.0000 0.0000 0.7713  4 Tm 3.45, 4 Dy 3.50, 4 Na 3.78
Tm1 0.5000 0.5000 0.0000  8 Dy 3.45, 4 Tm 3.50


Entry 10:
A plane-wave DFT calculation with PBE was carried out for crystalline NaDy2Tm at its relaxed geometry.

## Properties
For the polymorph energy (0 for the lowest one), the calculation gives 24 meV/atom. The magnetization comes out at 0.00 μB per formula unit. The calculation puts the total energy at -3.5934 eV per atom. As for the space group: R-3m (166).

Cell: 3.4781 3.4781 12.7603 Å, 82.17 82.17 60.00°
Last column: nearest neighbours and their distance in Å.
Fractional positions:
Na1 0.0000 0.0000 0.0000  6 Na 3.48, 2 Dy 3.50
Tm1 0.5000 0.5000 0.5000  6 Dy 3.44, 6 Tm 3.48
Dy1 0.0927 0.0927 0.7219  3 Tm 3.44, 6 Dy 3.48, 1 Na 3.50
Dy2 0.9073 0.9073 0.2781  3 Tm 3.44, 6 Dy 3.48, 1 Na 3.50


Entry 11:
A plane-wave DFT calculation with PBE was carried out for crystalline NaDyY at its relaxed geometry.

## Properties
For the polymorph energy (0 for the lowest one), the calculation gives 0 meV/atom. The magnetization comes out at 0.00 μB per formula unit. The calculation puts the total energy at -4.0443 eV per atom. As for the space group: P4/nmm (129).

Cell: 3.5179 3.5179 16.2710 Å, 90.00 90.00 90.00°
Last column: nearest neighbours and their distance in Å.
Fractional positions:
Dy1 0.5000 0.0000 0.7329  4 Y 3.51, 4 Dy 3.52, 4 Na 3.78
Dy2 0.0000 0.5000 0.2671  4 Y 3.51, 4 Dy 3.52, 4 Na 3.78
Y1 0.0000 0.5000 0.5806  4 Dy 3.51, 8 Y 3.52-3.62
Y2 0.5000 0.0000 0.4194  4 Dy 3.51, 8 Y 3.52-3.62
Na1 0.0000 0.5000 0.9074  8 Na 3.52-3.91, 4 Dy 3.78
Na2 0.5000 0.0000 0.0926  8 Na 3.52-3.91, 4 Dy 3.78


Entry 12:
A plane-wave DFT calculation with PBE was carried out for crystalline NaDyY2 at its relaxed geometry.

## Properties
For the polymorph energy (0 for the lowest one), the calculation gives 38 meV/atom. The magnetization comes out at 0.00 μB per formula unit. The calculation puts the total energy at -4.5451 eV per atom. As for the space group: R-3m (166).

Cell: 3.5116 3.5116 12.8766 Å, 82.16 82.16 60.00°
Last column: nearest neighbours and their distance in Å.
Fractional positions:
Y1 0.0921 0.0921 0.7236  3 Dy 3.49, 6 Y 3.51, 1 Na 3.51
Y2 0.9079 0.9079 0.2764  3 Dy 3.49, 6 Y 3.51, 1 Na 3.51
Na1 0.0000 0.0000 0.0000  6 Na 3.51, 2 Y 3.51
Dy1 0.5000 0.5000 0.5000  6 Y 3.49, 6 Dy 3.51


Entry 13:
A plane-wave DFT calculation with PBE was carried out for crystalline NaDyY at its relaxed geometry.

## Properties
For the polymorph energy (0 for the lowest one), the calculation gives 77 meV/atom. The magnetization comes out at 0.00 μB per formula unit. The calculation puts the total energy at -3.9671 eV per atom. As for the space group: I4mm (107).

Cell: 3.4999 3.4999 8.4854 Å, 101.90 101.90 90.00°
Last column: nearest neighbours and their distance in Å.
Fractional positions:
Y1 0.6758 0.6758 0.3517  4 Dy 3.45, 4 Y 3.50, 4 Na 3.78
Na1 0.9999 0.9999 0.9998  4 Na 3.50, 4 Dy 3.78, 4 Y 3.78
Dy1 0.3243 0.3243 0.6485  4 Y 3.45, 4 Dy 3.50, 4 Na 3.78


Entry 14:
A plane-wave DFT calculation with PBE was carried out for crystalline NaDyY2 at its relaxed geometry.

## Properties
For the polymorph energy (0 for the lowest one), the calculation gives 0 meV/atom. The magnetization comes out at 0.00 μB per formula unit. The calculation puts the total energy at -4.5836 eV per atom. As for the space group: P4/mmm (123).

Cell: 3.5576 3.5576 10.4820 Å, 90.00 90.00 90.00°
Last column: nearest neighbours and their distance in Å.
Fractional positions:
Na1 0.5000 0.5000 0.5000  4 Na 3.56, 8 Y 3.78
Y1 0.0000 0.0000 0.7694  4 Dy 3.49, 4 Y 3.56, 4 Na 3.78
Y2 0.0000 0.0000 0.2306  4 Dy 3.49, 4 Y 3.56, 4 Na 3.78
Dy1 0.5000 0.5000 0.0000  8 Y 3.49, 4 Dy 3.56


Entry 15:
A plane-wave DFT calculation with PBE was carried out for crystalline NaDy2Y at its relaxed geometry.

## Properties
For the polymorph energy (0 for the lowest one), the calculation gives 0 meV/atom. The magnetization comes out at 0.00 μB per formula unit. The calculation puts the total energy at -4.1084 eV per atom. As for the space group: P4/mmm (123).

Cell: 3.5285 3.5285 10.5849 Å, 90.00 90.00 90.00°
Last column: nearest neighbours and their distance in Å.
Fractional positions:
Dy1 0.0000 0.0000 0.2318  4 Y 3.50, 4 Dy 3.53, 4 Na 3.78
Dy2 0.0000 0.0000 0.7682  4 Y 3.50, 4 Dy 3.53, 4 Na 3.78
Na1 0.5000 0.5000 0.5000  4 Na 3.53, 8 Dy 3.78
Y1 0.5000 0.5000 0.0000  8 Dy 3.50, 4 Y 3.53


Entry 16:
A plane-wave DFT calculation with PBE was carried out for crystalline NaDyY at its relaxed geometry.

## Properties
For the polymorph energy (0 for the lowest one), the calculation gives 62 meV/atom. The magnetization comes out at 0.00 μB per formula unit. The calculation puts the total energy at -3.9822 eV per atom. As for the space group: P-1 (2).

Cell: 6.1274 7.0834 10.0271 Å, 89.99 78.00 30.14°
Last column: nearest neighbours and their distance in Å.
Fractional positions:
Na1 0.1192 0.0689 0.9266  6 Na 3.54-3.56, 3 Y 3.77-3.79, 3 Dy 3.78-3.81
Na2 0.1161 0.5705 0.9274  6 Na 3.54-3.56, 3 Y 3.77-3.79, 3 Dy 3.78-3.81
Dy1 0.9878 0.4188 0.2770  4 Dy 3.41-3.56, 5 Y 3.44-3.55, 3 Na 3.78-3.81
Dy2 0.2471 0.2214 0.5768  4 Dy 3.41-3.56, 5 Y 3.44-3.55, 3 Na 3.78-3.81
Y1 0.2453 0.7234 0.5789  5 Dy 3.44-3.55, 4 Y 3.45-3.56, 3 Na 3.77-3.79
Y2 0.9899 0.9165 0.2750  5 Dy 3.44-3.55, 4 Y 3.45-3.56, 3 Na 3.77-3.79


Entry 17:
A plane-wave DFT calculation with PBE was carried out for crystalline NaDy2Y at its relaxed geometry.

## Properties
For the polymorph energy (0 for the lowest one), the calculation gives 26 meV/atom. The magnetization comes out at 0.00 μB per formula unit. The calculation puts the total energy at -4.0822 eV per atom. As for the space group: R-3m (166).

Cell: 3.5069 3.5069 12.8371 Å, 82.15 82.15 60.00°
Last column: nearest neighbours and their distance in Å.
Fractional positions:
Na1 0.0000 0.0000 0.0000  2 Dy 3.50, 6 Na 3.51
Y1 0.5000 0.5000 0.5000  6 Dy 3.49, 6 Y 3.51
Dy1 0.0920 0.0920 0.7239  3 Y 3.49, 1 Na 3.50, 6 Dy 3.51
Dy2 0.9080 0.9080 0.2761  3 Y 3.49, 1 Na 3.50, 6 Dy 3.51


Entry 18:
A plane-wave DFT calculation with PBE was carried out for crystalline NaDyY at its relaxed geometry.

## Properties
For the polymorph energy (0 for the lowest one), the calculation gives 60 meV/atom. The magnetization comes out at 0.00 μB per formula unit. The calculation puts the total energy at -3.9846 eV per atom. As for the space group: P3m1 (156).

Cell: 3.5437 3.5437 9.1451 Å, 90.00 90.00 120.00°
Last column: nearest neighbours and their distance in Å.
Fractional positions:
Dy1 0.6667 0.3333 0.3493  3 Y 3.43, 6 Dy 3.54, 3 Na 3.79
Y1 0.3333 0.6667 0.6506  3 Dy 3.43, 6 Y 3.54, 3 Na 3.80
Na1 0.0000 0.0000 0.0001  6 Na 3.54, 3 Dy 3.79, 3 Y 3.80


Entry 19:
A plane-wave DFT calculation with PBE was carried out for crystalline NaDyZn2 at its relaxed geometry.

## Properties
For the polymorph energy (0 for the lowest one), the calculation gives 21 meV/atom. The magnetization comes out at 0.00 μB per formula unit. The calculation puts the total energy at -2.1896 eV per atom. As for the space group: Fm-3m (225).

Cell: 4.9656 4.9656 4.9656 Å, 60.00 60.00 60.00°
Last column: nearest neighbours and their distance in Å.
Fractional positions:
Na1 0.5000 0.5000 0.5000  8 Zn 3.04
Zn1 0.2500 0.2500 0.2500  4 Dy 3.04, 4 Na 3.04
Zn2 0.7500 0.7500 0.7500  4 Dy 3.04, 4 Na 3.04
Dy1 0.0000 0.0000 0.0000  8 Zn 3.04


Entry 20:
A plane-wave DFT calculation with PBE was carried out for crystalline NaDy2Zn at its relaxed geometry.

## Properties
For the polymorph energy (0 for the lowest one), the calculation gives 0 meV/atom. The magnetization comes out at 0.00 μB per formula unit. The calculation puts the total energy at -2.9718 eV per atom. As for the space group: P4/mmm (123).

Cell: 3.5781 3.5781 8.7970 Å, 90.00 90.00 90.00°
Last column: nearest neighbours and their distance in Å.
Fractional positions:
Na1 0.5000 0.5000 0.5000  4 Na 3.58, 8 Dy 3.71
Dy1 0.0000 0.0000 0.8082  4 Zn 3.04, 1 Dy 3.37
Dy2 0.0000 0.0000 0.1918  4 Zn 3.04, 1 Dy 3.37
Zn1 0.5000 0.5000 0.0000  8 Dy 3.04


no.,E_form (meV/atom)
1,-160.6
2,-88.0
3,-251.5
4,-177.6
5,-108.8
6,-286.6
7,-27.3
8,-68.3
9,130.9
10,155.2
11,84.1
12,167.2
13,161.3
14,128.7
15,138.4
16,146.2
17,164.6
18,143.8
19,-72.3
20,-22.5